No. 1
A relaxed structure of ScRuI2N, computed with PBE-GGA.

Cell lengths 5.8504, 5.8504, 3.8955 Å; angles 90.00, 90.00, 90.00 degrees
Last column: nearest neighbours and their distance in Å.
Positions (direct):
I: 0.0000 0.5000 0.0000  2 Sc 2.93
I: 0.5000 0.0000 0.0000  2 Sc 2.93
Ru: 0.5000 0.5000 0.5000  8 I 3.51, 2 Ru 3.90
Sc: 0.0000 0.0000 0.0000  2 N 1.95
N: 0.0000 0.0000 0.5000  2 Sc 1.95

## Properties
Its volume is 26.666 Å³ per atom. The value obtained for the energy relative to the lowest polymorph listed for this composition is 2.142 eV/f.u. The formation energy without anion corrections comes out at 0.61 eV/atom.

---

No. 2
A relaxed structure of ScRuI2N, computed with PBE-GGA.

Cell lengths 5.5907, 5.5907, 3.7196 Å; angles 90.00, 90.00, 90.00 degrees
Last column: nearest neighbours and their distance in Å.
Positions (direct):
I: 0.0000 0.5000 0.0000  2 Ru 2.80
I: 0.5000 0.0000 0.0000  2 Ru 2.80
Ru: 0.0000 0.0000 0.0000  2 N 1.86
Sc: 0.5000 0.5000 0.5000  8 I 3.36, 2 Sc 3.72
N: 0.0000 0.0000 0.5000  2 Ru 1.86

## Properties
Its volume is 23.252 Å³ per atom. The value obtained for the energy relative to the lowest polymorph listed for this composition is 0.000 eV/f.u. The formation energy without anion corrections comes out at 0.18 eV/atom.

---

No. 3
A relaxed structure of RuSe2IN, computed with PBE-GGA.

Cell lengths 5.1863, 5.1863, 3.7208 Å; angles 90.00, 90.00, 90.00 degrees
Last column: nearest neighbours and their distance in Å.
Positions (direct):
I: 0.5000 0.5000 0.5000  8 Se 3.19
Ru: 0.0000 0.0000 0.0000  2 N 1.86
Se: 0.0000 0.5000 0.0000  2 Ru 2.59
Se: 0.5000 0.0000 0.0000  2 Ru 2.59
N: 0.0000 0.0000 0.5000  2 Ru 1.86

## Properties
Its volume is 20.016 Å³ per atom. The value obtained for the energy relative to the lowest polymorph listed for this composition is 0.000 eV/f.u. The formation energy without anion corrections comes out at 0.48 eV/atom.

---

No. 4
A relaxed structure of RuSe2IN, computed with PBE-GGA.

Cell lengths 5.4612, 5.4612, 3.8805 Å; angles 90.00, 90.00, 90.00 degrees
Last column: nearest neighbours and their distance in Å.
Positions (direct):
I: 0.0000 0.0000 0.0000  2 N 1.94
Ru: 0.5000 0.5000 0.5000  8 Se 3.35
Se: 0.0000 0.5000 0.0000  2 I 2.73
Se: 0.5000 0.0000 0.0000  2 I 2.73
N: 0.0000 0.0000 0.5000  2 I 1.94

## Properties
Its volume is 23.147 Å³ per atom. The value obtained for the energy relative to the lowest polymorph listed for this composition is 6.754 eV/f.u. The formation energy without anion corrections comes out at 1.83 eV/atom.

---

No. 5
A relaxed structure of Sm6Ru2I3N, computed with PBE-GGA.

Cell lengths 6.9618, 6.9618, 8.2702 Å; angles 98.09, 98.09, 119.84 degrees
Last column: nearest neighbours and their distance in Å.
Positions (direct):
Sm: 0.9426 0.6316 0.8246  1 N 2.57, 2 Ru 2.77-2.79
Sm: 0.7442 0.7442 0.1766  1 N 2.60, 2 Ru 2.78
Sm: 0.0574 0.3684 0.1754  1 N 2.57, 2 Ru 2.77-2.79
Sm: 0.6316 0.9426 0.8246  1 N 2.57, 2 Ru 2.77-2.79
Sm: 0.2558 0.2558 0.8234  1 N 2.60, 2 Ru 2.78
Sm: 0.3684 0.0574 0.1754  1 N 2.57, 2 Ru 2.77-2.79
Ru: 0.3326 0.6674 0.0000  6 Sm 2.77-2.79
Ru: 0.6674 0.3326 0.0000  6 Sm 2.77-2.79
I: 0.1684 0.8316 0.5000  6 Sm 3.42-3.56
I: 0.8316 0.1684 0.5000  6 Sm 3.42-3.56
I: 0.5000 0.5000 0.5000  6 Sm 3.42-3.55
N: 0.0000 0.0000 0.0000  6 Sm 2.57-2.60

## Properties
Its volume is 27.809 Å³ per atom. The formation energy without anion corrections comes out at -0.81 eV/atom.

---

No. 6
A relaxed structure of SnRuIN2, computed with PBE-GGA.

Cell lengths 4.0829, 4.0829, 6.1395 Å; angles 90.00, 90.00, 90.00 degrees
Last column: nearest neighbours and their distance in Å.
Positions (direct):
I: 0.0000 0.0000 0.5000  4 Ru 2.89, 2 Sn 3.07
Ru: 0.5000 0.5000 0.5000  4 I 2.89
Sn: 0.0000 0.0000 0.0000  4 N 2.04
N: 0.0000 0.5000 0.0000  2 Sn 2.04
N: 0.5000 0.0000 0.0000  2 Sn 2.04

## Properties
Its volume is 20.469 Å³ per atom. The value obtained for the energy relative to the lowest polymorph listed for this composition is 3.254 eV/f.u. The formation energy without anion corrections comes out at 1.79 eV/atom.

---

No. 7
A relaxed structure of SnRuIN2, computed with PBE-GGA.

Cell lengths 4.1269, 4.1269, 5.6691 Å; angles 90.00, 90.00, 90.00 degrees
Last column: nearest neighbours and their distance in Å.
Positions (direct):
I: 0.0000 0.0000 0.5000  2 Ru 2.83, 4 Sn 2.92
Ru: 0.0000 0.0000 0.0000  4 N 2.06
Sn: 0.5000 0.5000 0.5000  4 I 2.92
N: 0.0000 0.5000 0.0000  2 Ru 2.06
N: 0.5000 0.0000 0.0000  2 Ru 2.06

## Properties
Its volume is 19.311 Å³ per atom. The value obtained for the energy relative to the lowest polymorph listed for this composition is 0.000 eV/f.u. The formation energy without anion corrections comes out at 1.14 eV/atom.

---

No. 8
A relaxed structure of SrRuIN2, computed with PBE-GGA.

Cell lengths 4.7886, 4.7886, 6.6038 Å; angles 90.00, 90.00, 90.00 degrees
Last column: nearest neighbours and their distance in Å.
Positions (direct):
I: 0.0000 0.0000 0.5000  2 Sr 3.30, 4 Ru 3.39
Ru: 0.5000 0.5000 0.5000  4 I 3.39
N: 0.0000 0.5000 0.0000  2 Sr 2.39
N: 0.5000 0.0000 0.0000  2 Sr 2.39
Sr: 0.0000 0.0000 0.0000  4 N 2.39

## Properties
Its volume is 30.286 Å³ per atom. The value obtained for the energy relative to the lowest polymorph listed for this composition is 7.497 eV/f.u. The formation energy without anion corrections comes out at 1.95 eV/atom.

---

> Look up the volume of the eighth one.

30.286 Å³ per atom

---

> Which of these has the highest formation energy without anion corrections?

SrRuIN2

---

> formation energy without anion corrections of number 5 (Sm6Ru2I3N)?

-0.81 eV/atom